Record 1
# PBE YMn3S, optimized geometry
data_YMn3S
_chemical_formula_sum 'Y1 Mn3 S1'
_cell_length_a 4.976
_cell_length_b 4.976
_cell_length_c 4.976
_cell_angle_alpha 90.00
_cell_angle_beta 90.00
_cell_angle_gamma 90.00
_space_group_name_H-M_alt 'P m -3 m'
_space_group_IT_number 221
_space_group_name_Hall '-P 4 2 3'
loop_
_atom_site_label
_atom_site_fract_x
_atom_site_fract_y
_atom_site_fract_z
Y1 0.000 0.000 0.000
Mn1 0.000 0.000 0.500
S1 0.500 0.500 0.500
# Polymorph energy (0 for the lowest one), meV/atom: 1745
# Size of the total moment, μB per formula unit: 10.610
# Raw formation energy, eV per atom: 1.74

Record 2
# PBE Th3Si5Au6, optimized geometry
data_Th3Si5Au6
_chemical_formula_sum 'Th6 Si10 Au12'
_cell_length_a 4.262
_cell_length_b 12.962
_cell_length_c 10.169
_cell_angle_alpha 90.00
_cell_angle_beta 90.00
_cell_angle_gamma 90.00
_space_group_name_H-M_alt 'P m m n'
_space_group_IT_number 59
loop_
_space_group_symop_operation_xyz
'x,y,z'
'-x,-y,-z'
'-x+1/2,-y+1/2,z'
'x+1/2,y+1/2,-z'
'x+1/2,-y,-z'
'-x+1/2,y,z'
'-x,y+1/2,-z'
'x,-y+1/2,z'
loop_
_atom_site_label
_atom_site_fract_x
_atom_site_fract_y
_atom_site_fract_z
Th1 0.250 0.084 0.249
Th2 0.250 0.750 0.249
Si1 0.250 0.086 0.639
Si2 0.250 0.620 0.980
Si3 0.250 0.750 0.675
Au1 0.250 0.070 0.882
Au2 0.250 0.250 0.037
Au3 0.250 0.250 0.492
Au4 0.250 0.586 0.502
# Size of the total moment, μB per formula unit: 0.000
# Raw formation energy, eV per atom: -0.53

Record 3
# PBE TePtPb2, optimized geometry
data_TePtPb2
_chemical_formula_sum 'Te4 Pt4 Pb8'
_cell_length_a 7.441
_cell_length_b 7.441
_cell_length_c 7.441
_cell_angle_alpha 90.00
_cell_angle_beta 90.00
_cell_angle_gamma 90.00
_space_group_name_H-M_alt 'F -4 3 m'
_space_group_IT_number 216
_space_group_name_Hall 'F -4 2 3'
loop_
_atom_site_label
_atom_site_fract_x
_atom_site_fract_y
_atom_site_fract_z
Te1 0.000 0.000 0.000
Pt1 0.250 0.250 0.250
Pb1 0.000 0.000 0.500
Pb2 0.250 0.250 0.750
# Size of the total moment, μB per formula unit: 0.000
# Raw formation energy, eV per atom: 0.18

Record 4
# PBE AlSn2O, optimized geometry
data_AlSn2O
_chemical_formula_sum 'Al4 Sn8 O4'
_cell_length_a 5.425
_cell_length_b 5.425
_cell_length_c 12.726
_cell_angle_alpha 90.00
_cell_angle_beta 90.00
_cell_angle_gamma 90.00
_space_group_name_H-M_alt 'I -4 2 d'
_space_group_IT_number 122
_space_group_name_Hall 'I -4 2bw'
loop_
_atom_site_label
_atom_site_fract_x
_atom_site_fract_y
_atom_site_fract_z
Al1 0.000 0.000 0.000
Sn1 0.174 0.250 0.625
O1 0.000 0.000 0.500
# Polymorph energy (0 for the lowest one), meV/atom: 0
# Size of the total moment, μB per formula unit: 0.000
# Raw formation energy, eV per atom: -0.25

Record 5
# PBE TlZnAs, optimized geometry
data_TlZnAs
_chemical_formula_sum 'Tl1 Zn1 As1'
_cell_length_a 4.2246
_cell_length_b 4.2246
_cell_length_c 5.0477
_cell_angle_alpha 90.00
_cell_angle_beta 90.00
_cell_angle_gamma 120.00
_space_group_name_H-M_alt 'P -6 m 2'
_space_group_IT_number 187
_space_group_name_Hall 'P -6 2'
loop_
_atom_site_label
_atom_site_fract_x
_atom_site_fract_y
_atom_site_fract_z
Tl1 0.0000 0.0000 0.0000
Zn1 0.6667 0.3333 0.5000
As1 0.3333 0.6667 0.5000
# Energy of formation from the pure elements, eV per formula unit: -0.3
# Size of the total moment, μB per formula unit: 0.000

Record 6
# PBE Hf6Fe5Ir, optimized geometry
data_Hf6Fe5Ir
_chemical_formula_sum 'Hf12 Fe10 Ir2'
_cell_length_a 4.470
_cell_length_b 13.399
_cell_length_c 6.356
_cell_angle_alpha 90.00
_cell_angle_beta 90.00
_cell_angle_gamma 90.00
_space_group_name_H-M_alt 'C m m m'
_space_group_IT_number 65
_space_group_name_Hall '-C 2 2'
loop_
_atom_site_label
_atom_site_fract_x
_atom_site_fract_y
_atom_site_fract_z
Hf1 0.000 0.000 0.243
Hf2 0.000 0.330 0.247
Fe1 0.000 0.166 0.000
Fe2 0.000 0.167 0.500
Fe3 0.000 0.500 0.000
Ir1 0.000 0.500 0.500
# Energy of formation from the pure elements, eV per formula unit: -5.2
# Size of the total moment, μB per formula unit: 1.358